MgFePd2F: relaxed, GGA+U.

Its crystal system is tetragonal. Its offset from the most stable computed form is 611.8 meV per atom.

```
MgFePd2F
1.0
4.645 0.000 0.000
0.000 4.645 0.000
0.000 0.000 5.200
Mg Fe Pd F
1 1 2 1
Direct
0.000 0.000 0.000
0.000 0.000 0.500
0.000 0.500 0.500
0.500 0.000 0.500
0.500 0.500 0.000
```